Pr6YMg2 (PBE-GGA, optimized geometry); electronic total energy = -4.20 eV/atom; D(E_F) = 12.329 states/eV per cell
1.0
3.119 -5.347 0.000
3.119 5.347 0.000
0.000 0.000 8.887
Pr Y Mg
6 1 2
direct
0.172 0.341 0.662
0.174 0.826 0.000
0.341 0.172 0.338
0.659 0.828 0.338
0.826 0.174 0.000
0.828 0.659 0.662
0.500 0.500 0.000
0.000 0.500 0.328
0.500 0.000 0.672


Tb6Nd3Sm (PBE-GGA, optimized geometry); D(E_F) = 18.633 states/eV per cell; energy above the lowest structure with this stoichiometry = 0.79 eV per formula unit
1.0
5.812 -3.316 0.000
5.812 3.316 0.000
-4.128 0.000 8.844
Tb Nd Sm
6 3 1
direct
0.059 0.569 0.188
0.138 0.138 0.421
0.431 0.941 0.812
0.569 0.059 0.188
0.862 0.862 0.579
0.941 0.431 0.812
0.431 0.431 0.801
0.500 0.500 0.500
0.569 0.569 0.199
0.000 0.000 0.000


CaLa4Hg5 (PBE-GGA, optimized geometry); electronic total energy = -2.84 eV/atom; D(E_F) = 10.533 states/eV per cell
1.0
3.883 0.000 0.000
0.000 3.883 0.000
0.000 0.000 19.542
Ca La Hg
1 4 5
direct
0.000 0.000 0.000
0.000 0.000 0.197
0.000 0.000 0.399
0.000 0.000 0.601
0.000 0.000 0.803
0.500 0.500 0.097
0.500 0.500 0.299
0.500 0.500 0.500
0.500 0.500 0.701
0.500 0.500 0.903


UNiSnIr (PBE-GGA, optimized geometry); electronic total energy = -7.74 eV/atom; D(E_F) = 20.470 states/eV per cell
1.0
6.644 0.000 0.000
0.000 6.644 0.000
0.000 0.000 6.644
U Ni Sn Ir
4 4 4 4
direct
0.000 0.000 0.000
0.000 0.500 0.500
0.500 0.000 0.500
0.500 0.500 0.000
0.250 0.250 0.250
0.250 0.750 0.750
0.750 0.250 0.750
0.750 0.750 0.250
0.000 0.000 0.500
0.000 0.500 0.000
0.500 0.000 0.000
0.500 0.500 0.500
0.250 0.250 0.750
0.250 0.750 0.250
0.750 0.250 0.250
0.750 0.750 0.750